BaTlClF4 PBE-GGA relaxed; space-group type = No. 12; energy = -61.5 eV per cell
1.0
7.1510 0.3067 0.2249
2.6581 6.6457 0.2249
2.0950 1.4849 7.5825
F Cl Ba Tl
8 2 2 2
Direct
0.6034 0.0161 0.7836
0.0161 0.6034 0.7836
0.9839 0.3966 0.2164
0.3976 0.3976 0.1304
0.6139 0.6139 0.5302
0.3966 0.9839 0.2164
0.3861 0.3861 0.4698
0.6024 0.6024 0.8696
0.9070 0.9070 0.3366
0.0930 0.0930 0.6634
0.4003 0.4003 0.7970
0.5997 0.5997 0.2030
0.2354 0.2354 0.3630
0.7646 0.7646 0.6370

Ba3ZnCl2F6 PBE-GGA relaxed; space-group type = No. 12; energy = -57.3 eV per cell
1.0
-4.9352 0.8242 -2.0009
-1.5552 -7.3987 0.7882
-2.1860 4.9673 5.6602
Cl F Ba Zn
2 6 3 1
Direct
0.0697 0.7153 0.4306
0.9303 0.2847 0.5694
0.6916 0.3111 0.1329
0.6494 0.8664 0.7328
0.3084 0.6889 0.8671
0.3506 0.1336 0.2672
0.3084 0.1782 0.8671
0.6916 0.8218 0.1329
0.0000 0.5000 0.0000
0.5000 0.5000 0.5000
0.5000 0.0000 0.5000
0.5000 0.0000 0.0000

BaZnClF2 PBE-GGA relaxed; space-group type = No. 123; energy = -18.6 eV per cell
1.0
4.9293 0.0000 0.0000
0.0000 6.4656 0.0000
0.0000 0.0000 4.9293
F Ba Cl Zn
2 1 1 1
Direct
0.0000 0.0000 0.5000
0.5000 0.0000 0.0000
0.0000 0.0000 0.0000
0.0000 0.5000 0.0000
0.5000 0.5000 0.5000

Ba3Fe5Cl12 PBE-GGA relaxed; space-group type = No. 230; energy = -373.2 eV per cell
1.0
13.8350 0.0000 0.0000
-4.6117 13.0438 0.0000
-4.6117 -6.5219 11.2963
Cl Ba Fe
48 12 20
Direct
0.6117 0.5933 0.9128
0.0933 0.9128 0.1117
0.4816 0.6805 0.0933
0.8195 0.9067 0.0184
0.9128 0.8195 0.8011
0.0184 0.6117 0.6989
0.6805 0.1989 0.5872
0.4128 0.3011 0.3195
0.0184 0.4067 0.8195
0.9067 0.0872 0.8883
0.5184 0.1989 0.1117
0.4128 0.1117 0.5933
0.8011 0.3195 0.9128
0.1805 0.0872 0.6989
0.3011 0.8883 0.9816
0.1989 0.5184 0.6117
0.1805 0.0933 0.9816
0.4816 0.8011 0.8883
0.5184 0.3195 0.9067
0.1117 0.4128 0.0933
0.8011 0.4816 0.3883
0.0872 0.1805 0.1989
0.4067 0.3883 0.5872
0.3883 0.9816 0.8011
0.1989 0.6805 0.0872
0.8883 0.5872 0.9067
0.0872 0.9067 0.3883
0.6989 0.1117 0.0184
0.8883 0.3011 0.4816
0.5872 0.6989 0.6805
0.3883 0.4067 0.0872
0.9816 0.3883 0.3011
0.8195 0.9128 0.3011
0.3195 0.8011 0.4128
0.9067 0.8195 0.5184
0.4067 0.0184 0.3195
0.6989 0.5872 0.1805
0.5872 0.8883 0.4067
0.9816 0.5933 0.1805
0.5933 0.9816 0.6805
0.3011 0.4128 0.8195
0.6805 0.4816 0.5933
0.3195 0.5184 0.4067
0.1117 0.6989 0.5184
0.6117 0.0184 0.1989
0.5933 0.6117 0.4128
0.0933 0.1805 0.4816
0.9128 0.0933 0.6117
0.2500 0.6250 0.8750
0.6250 0.3750 0.7500
0.3750 0.7500 0.6250
0.1250 0.8750 0.7500
0.8750 0.7500 0.1250
0.8750 0.1250 0.2500
0.6250 0.2500 0.3750
0.7500 0.8750 0.6250
0.2500 0.1250 0.3750
0.7500 0.3750 0.1250
0.3750 0.6250 0.2500
0.1250 0.2500 0.8750
0.7500 0.6250 0.3750
0.2500 0.8750 0.1250
0.5000 0.5000 0.5000
0.3750 0.1250 0.7500
0.8750 0.6250 0.7500
0.0000 0.0000 0.0000
0.3750 0.2500 0.1250
0.0000 0.5000 0.0000
0.8750 0.2500 0.6250
0.0000 0.5000 0.5000
0.5000 0.5000 0.0000
0.1250 0.3750 0.2500
0.5000 0.0000 0.0000
0.1250 0.7500 0.3750
0.2500 0.3750 0.6250
0.7500 0.1250 0.8750
0.6250 0.7500 0.8750
0.5000 0.0000 0.5000
0.0000 0.0000 0.5000
0.6250 0.8750 0.2500

BaFeCl2 PBE-GGA relaxed; space-group type = No. 10; energy = -17.2 eV per cell
1.0
-2.5977 -1.6763 -2.4851
2.5808 -2.8935 -0.7460
-2.3763 -3.3653 4.7539
Cl Fe Ba
2 1 1
Direct
0.0000 0.2515 0.4899
0.0000 0.2485 0.0101
0.5000 0.2500 0.2500
0.5000 0.7500 0.7500

BaFe3Cl PBE-GGA relaxed; space-group type = No. 221; energy = -24.7 eV per cell
1.0
-3.7282 1.6698 1.8855
-1.3998 -4.1739 0.9285
2.0937 0.1828 3.9782
Ba Fe Cl
1 3 1
Direct
0.5000 0.5000 0.5000
0.0000 0.0000 0.5000
0.0000 0.5000 0.0000
0.5000 0.0000 0.0000
0.0000 0.0000 0.0000

Results for energy relative to the elements, uncorrected: -236.3; -284.2; -189.2; -111.2; -74.6; 86.5 (in kJ/mol of atoms, following the order of the records).